# 1
Cs3CuCl: relaxed, PBEsol.

Results
N(E_F) ... 0.842 states/eV/atom
Magnetic moment ... 0.0009 μB/atom
Crystal system ... cubic
E_form (uncorrected) ... -0.254 eV/atom
Space group ... Pm-3m

Cell lengths 6.4837, 6.4837, 6.4837 Å; angles 90.00, 90.00, 90.00 degrees
Closest atoms and distances in Å follow each position.
Fractional coordinates of all 5 atoms:
Cs 0.0000 0.5000 0.0000  2 Cu 3.24
Cs 0.0000 0.0000 0.5000  2 Cu 3.24
Cs 0.5000 0.0000 0.0000  2 Cu 3.24
Cu 0.0000 0.0000 0.0000  6 Cs 3.24
Cl 0.5000 0.5000 0.5000  12 Cs 4.58

# 2
Ta3As2: relaxed, PBEsol.

Results
N(E_F) ... 0.723 states/eV/atom
Magnetic moment ... 0.0000 μB/atom
Crystal system ... trigonal
Space group ... R-3m
Raw total energy ... -48.145 eV/cell

Cell lengths 3.3117, 3.3117, 9.4765 Å; angles 79.94, 79.94, 60.00 degrees
Closest atoms and distances in Å follow each position.
Fractional coordinates of all 5 atoms:
As 0.6015 0.6015 0.1954  6 Ta 2.64-2.65
As 0.3985 0.3985 0.8046  6 Ta 2.64-2.65
Ta 0.0000 0.0000 0.0000  6 As 2.64
Ta 0.2021 0.2021 0.3937  3 As 2.65, 3 Ta 2.75
Ta 0.7979 0.7979 0.6063  3 As 2.65, 3 Ta 2.75

> Look up the N(E_F) of the first one.

0.842 states/eV/atom

> The highest N(E_F) belongs to which entry?

Cs3CuCl